[1]
Below is a relaxed Th2TiSe2Cl4 crystal, with properties calculated at the GGA-PBE level.

```
Th2TiSe2Cl4
1.0
-2.2682 0.2260 2.8415
2.7561 -2.3815 0.0544
13.2278 15.5218 9.3244
Th Cl Se Ti
2 4 2 1
Cartesian
7.9370 9.3667 7.9257 Th
13.0788 15.3469 9.2193 Th
9.7095 11.3933 6.8443 Cl
0.4254 0.5525 2.6307 Cl
11.3064 13.3204 10.3008 Cl
7.3645 8.6417 5.1913 Cl
4.6449 5.5037 5.6051 Se
2.7769 3.3118 4.2883 Se
4.3036 5.0499 3.0336 Ti
```

Total magnetization, μB/cell: 0.13
Density of states at the Fermi level, states/eV/cell: 2.1
Symmetry: P3m1 (156)

[2]
Below is a relaxed ThTl2Se2Cl2 crystal, with properties calculated at the GGA-PBE level.

```
ThTl2Se2Cl2
1.0
5.7592 0.0000 0.0000
0.0000 5.7592 0.0000
-2.8796 -2.8796 7.9261
Tl Cl Se Th
2 2 2 1
Cartesian
0.0000 0.0000 5.9970 Tl
2.8796 2.8796 1.9291 Tl
0.0000 0.0000 2.6963 Cl
2.8796 2.8796 5.2298 Cl
0.0000 2.8796 0.0000 Se
2.8796 0.0000 0.0000 Se
0.0000 0.0000 0.0000 Th
```

Total magnetization, μB/cell: 0.00
Density of states at the Fermi level, states/eV/cell: 0.0
Symmetry: I4/mmm (139)

[3]
Below is a relaxed ThTlSe2Cl crystal, with properties calculated at the GGA-PBE level.

```
ThTlSe2Cl
1.0
-0.9804 -3.4866 -2.3229
-5.0309 -3.2468 6.9968
-5.8192 4.9626 -4.9929
Th Cl Tl Se
2 2 2 4
Cartesian
-2.6455 -2.2970 -1.4132 Th
-9.1849 0.5262 1.0942 Th
-4.5208 -2.9349 0.3357 Cl
-7.3097 1.1641 -0.6547 Cl
-5.9893 -1.8005 3.2379 Tl
-5.8412 0.0297 -3.5569 Tl
-3.1707 0.5423 -1.4683 Se
-6.5722 3.3297 -4.2166 Se
-5.2582 -5.1005 3.8976 Se
-8.6598 -2.3131 1.1493 Se
```

Total magnetization, μB/cell: 0.00
Density of states at the Fermi level, states/eV/cell: 0.0
Symmetry: P2_1/m (11)

[4]
Below is a relaxed Th2VSe2Cl4 crystal, with properties calculated at the GGA-PBE level.

```
Th2VSe2Cl4
1.0
-1.5083 -1.0832 -3.0650
3.2405 -1.2153 0.9299
-9.6403 -17.3765 10.8849
Th Cl Se V
2 4 2 1
Cartesian
-9.5182 -17.1564 10.7470 Th
-6.1515 -12.3498 5.2966 Th
-8.5797 -16.7265 8.0382 Cl
-5.3690 -9.6775 6.0622 Cl
-0.6617 -2.4545 -0.9020 Cl
-7.0898 -12.7793 8.0051 Cl
-2.4104 -5.6066 1.0725 Se
-3.7227 -7.9719 2.5542 Se
-3.1411 -5.6619 3.5467 V
```

Total magnetization, μB/cell: 1.11
Density of states at the Fermi level, states/eV/cell: 2.2
Symmetry: P3m1 (156)

[5]
Below is a relaxed TiSe2Cl5 crystal, with properties calculated at the GGA-PBE level.

```
TiSe2Cl5
1.0
-1.0070 -1.0214 -5.8590
6.5272 -5.5595 -6.0208
-3.6884 -5.7050 -1.1169
Cl Se Ti
5 2 1
Cartesian
5.2566 -5.2449 -7.3094 Cl
0.5953 -2.8040 -7.1970 Cl
-1.3570 -2.5306 -4.2270 Cl
0.1355 -8.3905 -5.5145 Cl
-3.0520 -5.4668 -6.4361 Cl
1.2922 -6.9457 -9.7460 Se
0.9860 -6.2990 -5.6170 Se
-0.5999 -1.4466 -5.9676 Ti
```

Total magnetization, μB/cell: 1.00
Symmetry: P1 (1)

[6]
Below is a relaxed Ti2Se2Cl crystal, with properties calculated at the GGA-PBE level.

```
Ti2Se2Cl
1.0
-5.3336 1.1171 -4.9273
-1.3038 -7.2265 -0.2271
-2.2250 0.3234 2.4818
Se Cl Ti
4 2 4
Cartesian
-6.1351 -1.4481 -3.0521 Se
-2.7273 -4.3378 0.3796 Se
-5.6678 -5.2957 -2.1317 Se
-3.1947 -0.4902 -0.5408 Se
-3.3187 -3.0547 -2.5772 Cl
0.0000 0.0000 0.0000 Cl
-1.1946 -2.4897 -0.7465 Ti
-5.4429 -3.6197 -4.4079 Ti
-3.5606 -0.2641 -3.1577 Ti
-3.0768 -5.8452 -1.9966 Ti
```

Total magnetization, μB/cell: 0.00
Density of states at the Fermi level, states/eV/cell: 4.5
Symmetry: P4/mbm (127)

Number 1: E_form (uncorrected) -1.469 eV per atom. Number 2: E_form (uncorrected) -1.328 eV per atom. Number 3: E_form (uncorrected) -1.469 eV per atom. Number 4: E_form (uncorrected) -1.341 eV per atom. Number 5: E_form (uncorrected) -0.962 eV per atom. Number 6: E_form (uncorrected) -0.987 eV per atom.